12
Lattice="-2.6042 12.1215 2.2394 2.6042 -12.1215 2.2394 2.6042 12.1215 -2.2394" Properties=species:S:1:pos:R:3 comment="K3Cd2Cl3F4 | Alexandria | GGA-PBE | optimized geometry" spacegroup=Imm2 dos_ef_per_ev_fu=0.00 pbc="T T T"
K 0.0000 0.0000 0.0000
K 2.6042 -7.4469 2.2251
K 2.6042 7.4469 2.2251
Cd 0.0000 9.3883 0.0070
Cd 0.0000 14.8547 0.0070
Cl 2.6042 9.6785 -0.0075
Cl 0.0000 12.1215 0.0126
Cl 0.0000 2.4430 2.2319
F 2.6042 2.8484 0.0075
F 0.0000 7.1787 0.0271
F 0.0000 17.0643 0.0271
F 0.0000 9.2731 2.2468

8
Lattice="4.0036 0.0000 0.0000 0.0000 4.0036 0.0000 0.0000 0.0000 9.2333" Properties=species:S:1:pos:R:3 comment="KCd2ClF4 | Alexandria | GGA-PBE | optimized geometry" spacegroup=P4/mmm dos_ef_per_ev_fu=0.00 pbc="T T T"
K 0.0000 0.0000 0.0000
Cd 2.0018 2.0018 2.7525
Cd 2.0018 2.0018 6.4808
Cl 0.0000 0.0000 4.6166
F 0.0000 2.0018 1.8120
F 0.0000 2.0018 7.4213
F 2.0018 0.0000 1.8120
F 2.0018 0.0000 7.4213

14
Lattice="4.5678 0.0000 0.0000 0.0000 4.5678 0.0000 0.0000 0.0000 15.7040" Properties=species:S:1:pos:R:3 comment="K2CdCl2F2 | Alexandria | GGA-PBE | optimized geometry" spacegroup=I4/mmm dos_ef_per_ev_fu=0.00 pbc="T T T"
K 0.0000 0.0000 2.0195
K 0.0000 0.0000 13.6845
K 2.2839 2.2839 5.8325
K 2.2839 2.2839 9.8714
Cd 0.0000 0.0000 7.8520
Cd 2.2839 2.2839 0.0000
Cl 0.0000 0.0000 5.2724
Cl 0.0000 0.0000 10.4315
Cl 2.2839 2.2839 2.5796
Cl 2.2839 2.2839 13.1244
F 0.0000 2.2839 0.0000
F 0.0000 2.2839 7.8520
F 2.2839 0.0000 0.0000
F 2.2839 0.0000 7.8520

5
Lattice="5.3122 0.0000 0.0000 0.0000 5.3122 0.0000 0.0000 0.0000 4.4076" Properties=species:S:1:pos:R:3 comment="KCdCl2F | Alexandria | GGA-PBE | optimized geometry" spacegroup=P4/mmm de_polymorph_ev_per_fu=0.16 dos_ef_per_ev_fu=0.00 pbc="T T T"
K 0.0000 0.0000 0.0000
Cd 2.6561 2.6561 2.2038
Cl 0.0000 2.6561 2.2038
Cl 2.6561 0.0000 2.2038
F 2.6561 2.6561 0.0000

Calculated values (μB/f.u.) of M_tot for the records, taken in order: 0.00 0.08 0.00 0.00.
Calculated values (eV per atom) of E_form (uncorrected) for the records, taken in order: -2.0352 -1.9865 -2.0956 -1.7534.
Calculated values (eV/f.u.) of energy for the records, taken in order: -42.6 -28.2 -25.2 -16.3.